Entry from Alexandria via LeMat-Bulk: crystalline Zr2PtSe at its relaxed geometry (PBE).

Results
- size of the total moment (μB/f.u.) = 0.000
- energy relative to the elements, uncorrected (meV per atom) = -922

Cell: 5.5070 5.5070 4.4077 Å, 91.99 91.99 36.34°
Closest atoms and distances in Å follow each position.
Fractional coordinates of all 4 atoms:
1 Zr 0.0000 0.0000 0.0000  3 Se 2.77-3.01, 4 Pt 2.79-2.81
2 Zr 0.7469 0.7469 0.5467  3 Pt 2.78-3.01, 4 Se 2.79-2.81
3 Pt 0.4817 0.4817 0.5004  7 Zr 2.78-3.01, 1 Se 2.97
4 Se 0.2651 0.2651 0.0445  7 Zr 2.77-3.01, 1 Pt 2.97